Arrangement a

This record from Alexandria via LeMat-Bulk describes BPdC3 after structural relaxation. The functional is GGA-PBE.

Computed properties:
Space group   No. 221
M_tot   0.000 μB/atom

abc: 3.5156 3.5156 3.5156
angles: 90.00 90.00 90.00
Fractional coordinates of all 5 atoms:
B  0.0000  0.0000  0.0000
Pd  0.5000  0.5000  0.5000
C  0.0000  0.0000  0.5000
C  0.0000  0.5000  0.0000
C  0.5000  0.0000  0.0000

=====

Arrangement b

This record from Alexandria via LeMat-Bulk describes BPdC3 after structural relaxation. The functional is GGA-PBE.

Computed properties:
Space group   No. 221
M_tot   0.000 μB/atom

abc: 4.0054 4.0054 4.0054
angles: 90.00 90.00 90.00
Fractional coordinates of all 5 atoms:
B  0.0000  0.0000  0.0000
Pd  0.5000  0.5000  0.5000
C  0.0000  0.5000  0.5000
C  0.5000  0.0000  0.5000
C  0.5000  0.5000  0.0000

=====

Verdict on stability: arrangement a comes out on top.

=====

Arrangement a

This record from Alexandria via LeMat-Bulk describes BPd2C after structural relaxation. The functional is GGA-PBE.

Computed properties:
Space group   No. 122
M_tot   0.000 μB/atom

abc: 5.8188 5.8188 5.8188
angles: 131.52 131.52 70.99
Fractional coordinates of all 8 atoms:
B  0.0000  0.0000  0.0000
B  0.7500  0.2500  0.5000
Pd  0.1339  0.6250  0.0089
Pd  0.3750  0.3839  0.5089
Pd  0.6161  0.1250  0.9911
Pd  0.8750  0.8661  0.4911
C  0.2500  0.7500  0.5000
C  0.5000  0.5000  0.0000

=====

Arrangement b

This record from Alexandria via LeMat-Bulk describes BPd2C after structural relaxation. The functional is GGA-PBE.

Computed properties:
Space group   No. 225
M_tot   0.000 μB/atom

abc: 3.9411 3.9411 3.9411
angles: 60.00 60.00 60.00
Fractional coordinates of all 4 atoms:
B  0.0000  0.0000  0.0000
Pd  0.2500  0.2500  0.2500
Pd  0.7500  0.7500  0.7500
C  0.5000  0.5000  0.5000

=====

Verdict on stability: arrangement a comes out on top.

=====

Arrangement a

This record from Alexandria via LeMat-Bulk describes B3PdC after structural relaxation. The functional is GGA-PBE.

Computed properties:
Space group   No. 221
M_tot   0.000 μB/atom

abc: 3.4986 3.4986 3.4986
angles: 90.00 90.00 90.00
Fractional coordinates of all 5 atoms:
B  0.0000  0.0000  0.5000
B  0.0000  0.5000  0.0000
B  0.5000  0.0000  0.0000
Pd  0.5000  0.5000  0.5000
C  0.0000  0.0000  0.0000

=====

Arrangement b

This record from Alexandria via LeMat-Bulk describes B3PdC after structural relaxation. The functional is GGA-PBE.

Computed properties:
Space group   No. 221
M_tot   0.398 μB/atom

abc: 4.0551 4.0551 4.0551
angles: 90.00 90.00 90.00
Fractional coordinates of all 5 atoms:
B  0.0000  0.0000  0.5000
B  0.0000  0.5000  0.0000
B  0.5000  0.0000  0.0000
Pd  0.0000  0.0000  0.0000
C  0.5000  0.5000  0.5000

=====

Verdict on stability: arrangement a comes out on top.

=====

Arrangement a

This record from Alexandria via LeMat-Bulk describes PmB2C2 after structural relaxation. The functional is GGA-PBE.

Computed properties:
Space group   No. 140
M_tot   0.000 μB/atom

abc: 5.3643 5.3643 5.3643
angles: 119.78 119.78 90.37
Fractional coordinates of all 10 atoms:
Pm  0.2500  0.2500  0.0000
Pm  0.7500  0.7500  0.0000
B  0.1375  0.6375  0.7750
B  0.3625  0.1375  0.5000
B  0.6375  0.8625  0.5000
B  0.8625  0.3625  0.2250
C  0.1612  0.3388  0.5000
C  0.3388  0.8388  0.1777
C  0.6612  0.1612  0.8223
C  0.8388  0.6612  0.5000

=====

Arrangement b

This record from Alexandria via LeMat-Bulk describes PmB2C2 after structural relaxation. The functional is GGA-PBE.

Computed properties:
Space group   No. 194
M_tot   0.000 μB/atom

abc: 2.9987 2.9987 11.9751
angles: 90.00 90.00 120.00
Fractional coordinates of all 10 atoms:
Pm  0.0000  0.0000  0.2500
Pm  0.0000  0.0000  0.7500
B  0.3333  0.6667  0.0610
B  0.3333  0.6667  0.4390
B  0.6667  0.3333  0.5610
B  0.6667  0.3333  0.9390
C  0.3333  0.6667  0.5850
C  0.3333  0.6667  0.9150
C  0.6667  0.3333  0.0850
C  0.6667  0.3333  0.4150

=====

Verdict on stability: arrangement a comes out on top.